(1)
Here is a relaxed structure of SmTh2S6 from Alexandria via LeMat-Bulk. Energies are from PBE.

Geometry as CIF:
```
data_SmTh2S6
_space_group_name_H-M_alt 'P 42/m n m'
_space_group_IT_number 136
_space_group_name_Hall '-P 4n 2n'
_cell_length_a 6.4906
_cell_length_b 6.4906
_cell_length_c 12.7934
_cell_angle_alpha 90.00
_cell_angle_beta 90.00
_cell_angle_gamma 90.00
loop_
_atom_site_label
_atom_site_fract_x
_atom_site_fract_y
_atom_site_fract_z
Sm1 0.0000 0.0000 0.0000
Th1 0.0000 0.0000 0.3326
S1 0.1934 0.1934 0.5000
S2 0.1970 0.1970 0.1671
```

## Properties
Magnetic moment, Bohr magnetons per cell: 0.000
Formation energy without anion corrections, eV per atom: -1.68
Calculated total energy, eV/atom: -6.606

(2)
Here is a relaxed structure of SmThS2 from Alexandria via LeMat-Bulk. Energies are from PBE.

Geometry as CIF:
```
data_SmThS2
_space_group_name_H-M_alt 'R -3 m'
_space_group_IT_number 166
_space_group_name_Hall '-R 3 2"'
_cell_length_a 3.9814
_cell_length_b 3.9814
_cell_length_c 20.1361
_cell_angle_alpha 90.00
_cell_angle_beta 90.00
_cell_angle_gamma 120.00
loop_
_atom_site_label
_atom_site_fract_x
_atom_site_fract_y
_atom_site_fract_z
Sm1 0.0000 0.0000 0.0000
Th1 0.0000 0.0000 0.5000
S1 0.0000 0.0000 0.2520
```

## Properties
Magnetic moment, Bohr magnetons per cell: 0.000
Polymorph energy (0 for the lowest one), meV/atom: 0
Formation energy without anion corrections, eV per atom: -1.92
Calculated total energy, eV/atom: -7.021

(3)
Here is a relaxed structure of SmThS2 from Alexandria via LeMat-Bulk. Energies are from PBE.

Geometry as CIF:
```
data_SmThS2
_space_group_name_H-M_alt 'P 63/m m c'
_space_group_IT_number 194
_space_group_name_Hall '-P 6c 2c'
_cell_length_a 3.9384
_cell_length_b 3.9384
_cell_length_c 13.8236
_cell_angle_alpha 90.00
_cell_angle_beta 90.00
_cell_angle_gamma 120.00
loop_
_atom_site_label
_atom_site_fract_x
_atom_site_fract_y
_atom_site_fract_z
Sm1 0.0000 0.0000 0.0000
Th1 0.3333 0.6667 0.2500
S1 0.3333 0.6667 0.6213
```

## Properties
Magnetic moment, Bohr magnetons per cell: 0.000
Polymorph energy (0 for the lowest one), meV/atom: 34
Formation energy without anion corrections, eV per atom: -1.89
Calculated total energy, eV/atom: -6.987

(4)
Here is a relaxed structure of Sm2Th3S8 from Alexandria via LeMat-Bulk. Energies are from PBE.

Geometry as CIF:
```
data_Sm2Th3S8
_space_group_name_H-M_alt 'C 1 2/m 1'
_space_group_IT_number 12
_cell_length_a 14.2097
_cell_length_b 8.2189
_cell_length_c 6.7266
_cell_angle_alpha 90.00
_cell_angle_beta 109.13
_cell_angle_gamma 90.00
loop_
_space_group_symop_operation_xyz
'x,y,z'
'-x,-y,-z'
'-x,y,-z'
'x,-y,z'
'x+1/2,y+1/2,z'
'-x+1/2,-y+1/2,-z'
'-x+1/2,y+1/2,-z'
'x+1/2,-y+1/2,z'
loop_
_atom_site_label
_atom_site_fract_x
_atom_site_fract_y
_atom_site_fract_z
Sm1 0.2388 0.0000 0.1602
Th1 0.0000 0.2457 0.5000
Th2 0.0000 0.5000 0.0000
S1 0.1091 0.0000 0.3993
S2 0.1216 0.5000 0.4311
S3 0.1278 0.2674 0.9205
```

## Properties
Magnetic moment, Bohr magnetons per cell: 0.000
Formation energy without anion corrections, eV per atom: -1.86
Calculated total energy, eV/atom: -6.841

(5)
Here is a relaxed structure of SmTm2ThS4 from Alexandria via LeMat-Bulk. Energies are from PBE.

Geometry as CIF:
```
data_SmTm2ThS4
_space_group_name_H-M_alt 'P 1 2/m 1'
_space_group_IT_number 10
_cell_length_a 6.7579
_cell_length_b 3.8857
_cell_length_c 6.9382
_cell_angle_alpha 90.00
_cell_angle_beta 108.87
_cell_angle_gamma 90.00
loop_
_space_group_symop_operation_xyz
'x,y,z'
'-x,-y,-z'
'-x,y,-z'
'x,-y,z'
loop_
_atom_site_label
_atom_site_fract_x
_atom_site_fract_y
_atom_site_fract_z
Sm1 0.0000 0.0000 0.0000
Tm1 0.0000 0.5000 0.5000
Tm2 0.5000 0.0000 0.5000
Th1 0.5000 0.5000 0.0000
S1 0.2419 0.0000 0.7306
S2 0.2546 0.5000 0.2681
```

## Properties
Magnetic moment, Bohr magnetons per cell: 0.000
Formation energy without anion corrections, eV per atom: -1.92
Calculated total energy, eV/atom: -6.624

(6)
Here is a relaxed structure of SmTmTh2S4 from Alexandria via LeMat-Bulk. Energies are from PBE.

Geometry as CIF:
```
data_SmTmTh2S4
_space_group_name_H-M_alt 'P 1 2/m 1'
_space_group_IT_number 10
_cell_length_a 6.7930
_cell_length_b 3.9550
_cell_length_c 7.0474
_cell_angle_alpha 90.00
_cell_angle_beta 108.96
_cell_angle_gamma 90.00
loop_
_space_group_symop_operation_xyz
'x,y,z'
'-x,-y,-z'
'-x,y,-z'
'x,-y,z'
loop_
_atom_site_label
_atom_site_fract_x
_atom_site_fract_y
_atom_site_fract_z
Sm1 0.0000 0.0000 0.0000
Tm1 0.5000 0.5000 0.0000
Th1 0.0000 0.5000 0.5000
Th2 0.5000 0.0000 0.5000
S1 0.2534 0.5000 0.2381
S2 0.2623 0.0000 0.7666
```

## Properties
Magnetic moment, Bohr magnetons per cell: 0.000
Formation energy without anion corrections, eV per atom: -1.89
Calculated total energy, eV/atom: -6.960

(7)
Here is a relaxed structure of Sm4Tm3ThS8 from Alexandria via LeMat-Bulk. Energies are from PBE.

Geometry as CIF:
```
data_Sm4Tm3ThS8
_space_group_name_H-M_alt 'R -3 m'
_space_group_IT_number 166
_space_group_name_Hall '-R 3 2"'
_cell_length_a 7.9019
_cell_length_b 7.9019
_cell_length_c 19.4197
_cell_angle_alpha 90.00
_cell_angle_beta 90.00
_cell_angle_gamma 120.00
loop_
_atom_site_label
_atom_site_fract_x
_atom_site_fract_y
_atom_site_fract_z
Sm1 0.0000 0.0000 0.0000
Sm2 0.0000 0.5000 0.0000
Tm1 0.0000 0.5000 0.5000
Th1 0.0000 0.0000 0.5000
S1 0.0000 0.0000 0.2444
S2 0.0089 0.5044 0.7534
```

## Properties
Magnetic moment, Bohr magnetons per cell: 0.000
Formation energy without anion corrections, eV per atom: -1.95
Calculated total energy, eV/atom: -6.500

(8)
Here is a relaxed structure of Sm3TmTh4S8 from Alexandria via LeMat-Bulk. Energies are from PBE.

Geometry as CIF:
```
data_Sm3TmTh4S8
_space_group_name_H-M_alt 'R -3 m'
_space_group_IT_number 166
_space_group_name_Hall '-R 3 2"'
_cell_length_a 7.8987
_cell_length_b 7.8987
_cell_length_c 20.1564
_cell_angle_alpha 90.00
_cell_angle_beta 90.00
_cell_angle_gamma 120.00
loop_
_atom_site_label
_atom_site_fract_x
_atom_site_fract_y
_atom_site_fract_z
Sm1 0.0000 0.5000 0.0000
Tm1 0.0000 0.0000 0.0000
Th1 0.0000 0.0000 0.5000
Th2 0.0000 0.5000 0.5000
S1 0.0000 0.0000 0.2523
S2 0.0071 0.5035 0.7461
```

## Properties
Magnetic moment, Bohr magnetons per cell: 0.000
Formation energy without anion corrections, eV per atom: -1.91
Calculated total energy, eV/atom: -6.996

(9)
Here is a relaxed structure of Sm4TmTh3S8 from Alexandria via LeMat-Bulk. Energies are from PBE.

Geometry as CIF:
```
data_Sm4TmTh3S8
_space_group_name_H-M_alt 'R -3 m'
_space_group_IT_number 166
_space_group_name_Hall '-R 3 2"'
_cell_length_a 7.9831
_cell_length_b 7.9831
_cell_length_c 19.7136
_cell_angle_alpha 90.00
_cell_angle_beta 90.00
_cell_angle_gamma 120.00
loop_
_atom_site_label
_atom_site_fract_x
_atom_site_fract_y
_atom_site_fract_z
Sm1 0.0000 0.0000 0.0000
Sm2 0.0000 0.5000 0.0000
Tm1 0.0000 0.0000 0.5000
Th1 0.0000 0.5000 0.5000
S1 0.0000 0.0000 0.2519
S2 0.0094 0.5047 0.2492
```

## Properties
Magnetic moment, Bohr magnetons per cell: 0.000
Formation energy without anion corrections, eV per atom: -1.93
Calculated total energy, eV/atom: -6.846

(10)
Here is a relaxed structure of Sm2YThS4 from Alexandria via LeMat-Bulk. Energies are from PBE.

Geometry as CIF:
```
data_Sm2YThS4
_space_group_name_H-M_alt 'P 1 2/m 1'
_space_group_IT_number 10
_cell_length_a 6.9155
_cell_length_b 3.9743
_cell_length_c 6.9558
_cell_angle_alpha 90.00
_cell_angle_beta 109.25
_cell_angle_gamma 90.00
loop_
_space_group_symop_operation_xyz
'x,y,z'
'-x,-y,-z'
'-x,y,-z'
'x,-y,z'
loop_
_atom_site_label
_atom_site_fract_x
_atom_site_fract_y
_atom_site_fract_z
Sm1 0.0000 0.0000 0.0000
Sm2 0.0000 0.5000 0.5000
Y1 0.5000 0.0000 0.5000
Th1 0.5000 0.5000 0.0000
S1 0.2501 0.0000 0.7440
S2 0.2549 0.5000 0.2571
```

## Properties
Magnetic moment, Bohr magnetons per cell: 0.000
Formation energy without anion corrections, eV per atom: -1.96
Calculated total energy, eV/atom: -6.939

(11)
Here is a relaxed structure of Sm3Y2ThS6 from Alexandria via LeMat-Bulk. Energies are from PBE.

Geometry as CIF:
```
data_Sm3Y2ThS6
_space_group_name_H-M_alt 'C 1 2/m 1'
_space_group_IT_number 12
_cell_length_a 17.3458
_cell_length_b 3.9816
_cell_length_c 7.9915
_cell_angle_alpha 90.00
_cell_angle_beta 103.06
_cell_angle_gamma 90.00
loop_
_space_group_symop_operation_xyz
'x,y,z'
'-x,-y,-z'
'-x,y,-z'
'x,-y,z'
'x+1/2,y+1/2,z'
'-x+1/2,-y+1/2,-z'
'-x+1/2,y+1/2,-z'
'x+1/2,-y+1/2,z'
loop_
_atom_site_label
_atom_site_fract_x
_atom_site_fract_y
_atom_site_fract_z
Sm1 0.0000 0.0000 0.0000
Sm2 0.1638 0.5000 0.3340
Y1 0.1655 0.5000 0.8307
Th1 0.0000 0.0000 0.5000
S1 0.0029 0.5000 0.7556
S2 0.1693 0.0000 0.5910
S3 0.1696 0.0000 0.0786
```

## Properties
Magnetic moment, Bohr magnetons per cell: 0.000
Formation energy without anion corrections, eV per atom: -1.98
Calculated total energy, eV/atom: -6.915

(12)
Here is a relaxed structure of SmY3Th4S8 from Alexandria via LeMat-Bulk. Energies are from PBE.

Geometry as CIF:
```
data_SmY3Th4S8
_space_group_name_H-M_alt 'R -3 m'
_space_group_IT_number 166
_space_group_name_Hall '-R 3 2"'
_cell_length_a 7.8558
_cell_length_b 7.8558
_cell_length_c 20.1752
_cell_angle_alpha 90.00
_cell_angle_beta 90.00
_cell_angle_gamma 120.00
loop_
_atom_site_label
_atom_site_fract_x
_atom_site_fract_y
_atom_site_fract_z
Sm1 0.0000 0.0000 0.0000
Y1 0.0000 0.5000 0.0000
Th1 0.0000 0.0000 0.5000
Th2 0.0000 0.5000 0.5000
S1 0.0000 0.0000 0.2549
S2 0.0037 0.5019 0.2541
```

## Properties
Magnetic moment, Bohr magnetons per cell: 0.000
Formation energy without anion corrections, eV per atom: -1.92
Calculated total energy, eV/atom: -7.342